No. 1
LiBeZnTe, relaxed, DFT PBE; N(E_F) = 0.26 states/eV per atom; VASP energy = -2.58 eV per atom; SG = No. 160; polymorph energy (0 for the lowest one) = 0.0514 eV per atom; uncorrected formation energy = -0.065 eV/atom; density = 4.45 g/cm3
1.0
3.867 0.000 0.000
-1.934 3.349 0.000
0.000 0.000 18.070
Li Be Zn Te
3 3 3 3
direct
0.000 0.000 0.790 Li
0.333 0.667 0.457 Li
0.667 0.333 0.124 Li
0.000 0.000 0.949 Be
0.333 0.667 0.615 Be
0.667 0.333 0.282 Be
0.000 0.000 0.547 Zn
0.333 0.667 0.214 Zn
0.667 0.333 0.880 Zn
0.000 0.000 0.348 Te
0.333 0.667 0.014 Te
0.667 0.333 0.681 Te

No. 2
LiBeZnTe, relaxed, DFT PBE; N(E_F) = 0.23 states/eV per atom; VASP energy = -2.55 eV per atom; SG = No. 1; polymorph energy (0 for the lowest one) = 0.0815 eV per atom; uncorrected formation energy = -0.035 eV/atom; density = 4.36 g/cm3
1.0
-3.438 1.391 0.314
-1.792 -0.174 -3.582
-2.571 -5.290 -0.416
Li Be Zn Te
1 1 1 1
direct
0.167 0.920 0.203 Li
0.019 0.542 0.647 Be
0.609 0.174 0.500 Zn
0.524 0.460 0.922 Te

No. 3
LiBeZnTe, relaxed, DFT PBE; N(E_F) = 0.09 states/eV per atom; VASP energy = -2.63 eV per atom; SG = No. 6; polymorph energy (0 for the lowest one) = 0.0000 eV per atom; uncorrected formation energy = -0.117 eV/atom; density = 4.20 g/cm3
1.0
-4.084 -0.965 0.175
0.200 -1.518 -3.700
3.139 -3.927 1.781
Li Be Zn Te
1 1 1 1
direct
0.477 0.500 0.780 Li
0.654 0.000 0.135 Be
0.043 0.000 0.909 Zn
0.794 0.500 0.408 Te